Record 1
Material: PrSb3Rh3
Method: DFT, PBE-GGA
State: relaxed

Lattice parameters (Å, degrees): 7.4577 7.4577 20.8520 90.00 90.00 120.00
Closest atoms and distances in Å follow each position.
Space group R-3 (No. 148, hexagonal axes)
Unique sites:
Pr  0.0000  0.0000  0.1623 x6  6 Sb 3.20-3.29, 3 Rh 3.28
Sb  0.0227  0.3047  0.4106 x18  4 Rh 2.57-2.66
Rh  0.0167  0.3060  0.9533 x18  4 Sb 2.57-2.66

raw formation energy	-0.520	eV/atom
total magnetic moment	0.00	μB/f.u.
ΔE to the lowest computed polymorph	0	meV per atom
crystal system	trigonal
total energy	-6.120	eV per atom
density	8.084	Mg/m³

---

Record 2
Material: La6S5
Method: DFT, PBE-GGA
State: relaxed

Lattice parameters (Å, degrees): 7.1953 12.4195 7.1786 90.00 109.49 90.00
Closest atoms and distances in Å follow each position.
Space group C2/m (No. 12)
Unique sites:
La  0.2469  0.0000  0.2565 x4  5 S 2.88-2.94
La  0.2470  0.1692  0.7467 x8  5 S 2.89-2.94
S  0.0000  0.0000  0.5000 x2  6 La 2.88-2.93
S  0.0000  0.1661  0.0000 x4  6 La 2.93-2.94
S  0.0000  0.3329  0.5000 x4  6 La 2.89-2.93

raw formation energy	-1.940	eV/atom
total magnetic moment	0.00	μB/f.u.
crystal system	monoclinic
total energy	-6.503	eV per atom
density	5.457	Mg/m³

---

Record 3
Material: La4ErTe5
Method: DFT, PBE-GGA
State: relaxed

Lattice parameters (Å, degrees): 4.5279 4.5279 32.1169 90.00 90.00 90.00
Closest atoms and distances in Å follow each position.
Space group I4/mmm (No. 139)
Unique sites:
La  0.0000  0.0000  0.1015 x4  6 Te 3.21-3.26
La  0.0000  0.0000  0.3046 x4  6 Te 3.21-3.28
Er  0.0000  0.0000  0.5000 x2  6 Te 3.04-3.20
Te  0.0000  0.0000  0.0000 x2  4 Er 3.20, 2 La 3.26
Te  0.0000  0.0000  0.2026 x4  6 La 3.21-3.28
Te  0.0000  0.0000  0.4054 x4  1 Er 3.04, 5 La 3.21-3.24

raw formation energy	-1.504	eV/atom
total magnetic moment	0.00	μB/f.u.
ΔE to the lowest computed polymorph	9	meV per atom
crystal system	tetragonal
total energy	-5.502	eV per atom
density	6.864	Mg/m³

---

Record 4
Material: TbTm2Mg5
Method: DFT, PBE-GGA
State: relaxed

Lattice parameters (Å, degrees): 5.2218 5.2218 15.0651 90.00 90.00 90.00
Closest atoms and distances in Å follow each position.
Space group I4/mmm (No. 139)
Unique sites:
Tb  0.0000  0.0000  0.0000 x2  8 Mg 3.19
Tm  0.0000  0.0000  0.2554 x4  8 Mg 3.20-3.30
Mg  0.0000  0.0000  0.5000 x2  8 Mg 3.19
Mg  0.0000  0.5000  0.1213 x8  2 Tb 3.19, 2 Mg 3.19, 4 Tm 3.20-3.30

total magnetic moment	0.00	μB/f.u.
crystal system	tetragonal
total energy	-2.756	eV per atom
density	4.999	Mg/m³

---

Record 5
Material: PmNd8Sc2
Method: DFT, PBE-GGA
State: relaxed

Lattice parameters (Å, degrees): 9.0648 16.2428 5.9385 90.00 122.29 90.00
Closest atoms and distances in Å follow each position.
Space group C2/m (No. 12)
Unique sites:
Pm  0.0000  0.0000  0.0000 x2  4 Nd 3.33-3.38
Nd  0.0000  0.2083  0.0000 x4  1 Pm 3.38, 2 Sc 3.40, 6 Nd 3.57-3.72
Nd  0.0792  0.5000  0.7939 x4  3 Nd 2.98-3.32, 1 Pm 3.33
Nd  0.2172  0.1203  0.6723 x8  6 Nd 3.32-3.72, 2 Sc 3.42-3.50
Sc  0.0000  0.3098  0.5000 x4  8 Nd 3.40-3.50

total magnetic moment	0.00	μB/f.u.
ΔE to the lowest computed polymorph	34	meV per atom
crystal system	monoclinic
total energy	-4.896	eV per atom
density	6.240	Mg/m³

---

Record 6
Material: Ac4Bi2PdN2
Method: DFT, PBE-GGA
State: relaxed

Lattice parameters (Å, degrees): 16.2574 4.4597 8.7126 90.00 112.73 90.00
Closest atoms and distances in Å follow each position.
Space group C2/m (No. 12)
Unique sites:
Ac  0.0279  0.0000  0.2833 x4  1 N 2.38
Ac  0.2166  0.5000  0.6436 x4  3 N 2.45-2.55
Bi  0.1041  0.5000  0.0401 x4  1 Bi 3.18
Pd  0.0000  0.5000  0.5000 x2  6 Ac 3.07-3.25
N  0.1759  0.0000  0.4902 x4  4 Ac 2.38-2.55

raw formation energy	-0.918	eV/atom
total magnetic moment	0.00	μB/f.u.
crystal system	monoclinic
total energy	-6.034	eV per atom
density	8.325	Mg/m³

---

Record 7
Material: Pm7Ge2Te2
Method: DFT, PBE-GGA
State: relaxed

Lattice parameters (Å, degrees): 9.3015 11.0211 6.8695 90.00 90.00 90.00
Closest atoms and distances in Å follow each position.
Space group Cmmm (No. 65)
Unique sites:
Pm  0.0000  0.0000  0.0000 x2  2 Ge 3.00
Pm  0.0000  0.5000  0.2457 x4  2 Ge 3.03, 2 Te 3.27, 1 Pm 3.38
Pm  0.2500  0.2500  0.2582 x8  2 Ge 2.93, 2 Te 3.25
Ge  0.0000  0.2719  0.0000 x4  7 Pm 2.93-3.03
Te  0.2022  0.0000  0.5000 x4  6 Pm 3.25-3.27

raw formation energy	-0.618	eV/atom
total magnetic moment	0.00	μB/f.u.
crystal system	orthorhombic
total energy	-5.052	eV per atom
density	6.675	Mg/m³

---

Record 8
Material: EuHgPbAu
Method: DFT, PBE-GGA
State: relaxed

Lattice parameters (Å, degrees): 7.4455 7.4455 7.4455 90.00 90.00 90.00
Closest atoms and distances in Å follow each position.
Space group F-43m (No. 216)
Unique sites:
Eu  0.0000  0.0000  0.0000 x4  4 Hg 3.22, 4 Au 3.22
Hg  0.2500  0.2500  0.2500 x4  4 Pb 3.22, 4 Eu 3.22
Pb  0.0000  0.0000  0.5000 x4  4 Au 3.22, 4 Hg 3.22
Au  0.2500  0.2500  0.7500 x4  4 Pb 3.22, 4 Eu 3.22

total magnetic moment	6.96	μB/f.u.
crystal system	cubic
total energy	-4.855	eV per atom
density	12.178	Mg/m³

---

Record 9
Material: SrCaFe2
Method: DFT, PBE-GGA
State: relaxed

Lattice parameters (Å, degrees): 8.0285 8.0285 6.0370 90.00 90.00 90.00
Closest atoms and distances in Å follow each position.
Space group I-42d (No. 122)
Unique sites:
Sr  0.0000  0.0000  0.0000 x4  4 Fe 2.98, 2 Ca 3.02
Ca  0.0000  0.0000  0.5000 x4  4 Fe 2.89, 2 Sr 3.02
Fe  0.2418  0.2500  0.6250 x8  2 Ca 2.89, 2 Sr 2.98, 2 Fe 3.02

total magnetic moment	4.42	μB/f.u.
crystal system	tetragonal
total energy	-4.161	eV per atom
density	4.086	Mg/m³

---

Record 10
Material: InIrPt3
Method: DFT, PBE-GGA
State: relaxed

Lattice parameters (Å, degrees): 4.8501 4.8501 4.8501 90.00 90.00 90.00
Closest atoms and distances in Å follow each position.
Space group Pm-3m (No. 221)
Unique sites:
In  0.0000  0.0000  0.0000 x1  6 Pt 2.43
Ir  0.5000  0.5000  0.5000 x1  12 Pt 3.43
Pt  0.0000  0.0000  0.5000 x3  2 In 2.43

total magnetic moment	1.73	μB/f.u.
ΔE to the lowest computed polymorph	753	meV per atom
crystal system	cubic
total energy	-4.202	eV per atom
density	12.987	Mg/m³

---

Record 11
Material: K3PaS4
Method: DFT, PBE-GGA
State: relaxed

Lattice parameters (Å, degrees): 8.8929 12.4931 4.2299 90.00 90.00 90.00
Closest atoms and distances in Å follow each position.
Space group Cmmm (No. 65)
Unique sites:
K  0.0000  0.0000  0.0000 x2  6 S 3.39-3.69
K  0.2500  0.2500  0.5000 x4  6 S 3.12-3.15
Pa  0.0000  0.5000  0.0000 x2  6 S 2.55-2.77
S  0.0000  0.2955  0.0000 x4  1 Pa 2.55
S  0.2014  0.5000  0.5000 x4  2 Pa 2.77

raw formation energy	-1.483	eV/atom
total magnetic moment	0.00	μB/f.u.
crystal system	orthorhombic
total energy	-5.145	eV per atom
density	3.368	Mg/m³

---

Record 12
Material: Y3Se2S
Method: DFT, PBE-GGA
State: relaxed

Lattice parameters (Å, degrees): 4.0275 5.6787 12.1953 90.00 90.00 90.00
Closest atoms and distances in Å follow each position.
Space group Immm (No. 71)
Unique sites:
Y  0.0000  0.0000  0.0000 x2  2 S 2.84, 4 Se 2.91
Y  0.0000  0.0000  0.3494 x4  2 S 2.73, 4 Se 2.85-2.96
Se  0.0000  0.5000  0.3280 x4  6 Y 2.85-2.96
S  0.0000  0.5000  0.0000 x2  6 Y 2.73-2.84

raw formation energy	-1.840	eV/atom
total magnetic moment	0.00	μB/f.u.
crystal system	orthorhombic
total energy	-6.921	eV per atom
density	5.438	Mg/m³